No. 1
Sr2Ag6Sn | PBE-GGA | relaxed

Values from the calculation:
- M_tot (Bohr magnetons per cell) = 0.0
- crystal system = trigonal
- E (eV per atom) = -2.959
- E_form (eV per atom) = -0.240

a b c (Å): 6.3500 6.3500 6.1788
angles (deg): 90.00 90.00 120.00
Space group P-3m1 (No. 164)
Inequivalent atoms, fractional coordinates:
Sr  0.3333  0.6667  0.1563 (multiplicity 2)
Ag  0.1832  0.3663  0.6636 (multiplicity 6)
Sn  0.0000  0.0000  0.0000 (multiplicity 1)

***

No. 2
AcCePrCd | PBE-GGA | relaxed

Values from the calculation:
- M_tot (Bohr magnetons per cell) = 5.6
- crystal system = cubic
- E (eV per atom) = -3.842
- E_form (eV per atom) = 0.092

a b c (Å): 8.0652 8.0652 8.0652
angles (deg): 90.00 90.00 90.00
Space group F-43m (No. 216)
Inequivalent atoms, fractional coordinates:
Ac  0.0000  0.0000  0.0000 (multiplicity 4)
Ce  0.2500  0.2500  0.2500 (multiplicity 4)
Pr  0.2500  0.2500  0.7500 (multiplicity 4)
Cd  0.0000  0.0000  0.5000 (multiplicity 4)

***

No. 3
RbPdI2N | PBE-GGA | relaxed

Values from the calculation:
- ΔE_f (raw) (eV per atom) = 0.02
- M_tot (Bohr magnetons per cell) = 0.0
- crystal system = tetragonal
- energy above the most stable polymorph in this dataset (meV/atom) = 0.0
- E (eV per atom) = -3.497

a b c (Å): 6.0860 6.0860 3.8475
angles (deg): 90.00 90.00 90.00
Space group P4/mmm (No. 123)
Inequivalent atoms, fractional coordinates:
Rb  0.0000  0.0000  0.0000 (multiplicity 1)
Pd  0.5000  0.5000  0.5000 (multiplicity 1)
I  0.0000  0.5000  0.5000 (multiplicity 2)
N  0.5000  0.5000  0.0000 (multiplicity 1)

***

> Look up the E of the third one.

-3.497 eV per atom

***

Please write out number 2 again, unchanged.
AcCePrCd | PBE-GGA | relaxed

Values from the calculation:
- M_tot (Bohr magnetons per cell) = 5.6
- crystal system = cubic
- E (eV per atom) = -3.842
- E_form (eV per atom) = 0.092

a b c (Å): 8.0652 8.0652 8.0652
angles (deg): 90.00 90.00 90.00
Space group F-43m (No. 216)
Inequivalent atoms, fractional coordinates:
Ac  0.0000  0.0000  0.0000 (multiplicity 4)
Ce  0.2500  0.2500  0.2500 (multiplicity 4)
Pr  0.2500  0.2500  0.7500 (multiplicity 4)
Cd  0.0000  0.0000  0.5000 (multiplicity 4)

***

> Among the records above, which one has the highest M_tot?

AcCePrCd